# 1
Material: V2ZnSi2
Method: DFT, PBE
State: optimized geometry

Results
Calculated total energy   -62.0 eV for the cell shown
M_tot   0.00 μB/atom
Space group   P4/mbm
Energy above the most stable polymorph in this dataset   124 meV per atom
Uncorrected formation energy   -0.1239 eV per atom

Unit cell a=6.5862 b=6.5862 c=3.2604 alpha=90.00 beta=90.00 gamma=90.00
Sites, in units of the cell vectors:
V1 0.1578 0.3422 0.0000
V2 0.3422 0.8422 0.0000
V3 0.6578 0.1578 0.0000
V4 0.8422 0.6578 0.0000
Zn1 0.0000 0.0000 0.0000
Zn2 0.5000 0.5000 0.0000
Si1 0.1372 0.6372 0.5000
Si2 0.3628 0.1372 0.5000
Si3 0.6372 0.8628 0.5000
Si4 0.8628 0.3628 0.5000


# 2
Material: FeOsSe2
Method: DFT, PBE
State: optimized geometry

Results
Calculated total energy   -25.9 eV for the cell shown
M_tot   0.58 μB/atom
Space group   R3m
Energy above the most stable polymorph in this dataset   213 meV per atom
Uncorrected formation energy   0.1981 eV per atom

Unit cell a=9.4456 b=9.4456 c=9.4456 alpha=18.59 beta=18.59 gamma=18.59
Sites, in units of the cell vectors:
Fe1 0.0000 0.0000 0.0000
Os1 0.2586 0.2586 0.2586
Se1 0.5300 0.5300 0.5300
Se2 0.7245 0.7245 0.7245


# 3
Material: Sc2Pa2Ni15
Method: DFT, PBE
State: optimized geometry

Results
Calculated total energy   -123.5 eV for the cell shown
M_tot   0.00 μB/atom
Space group   R-3m
Energy of formation   -271 meV/atom

Unit cell a=6.4240 b=6.4240 c=6.4240 alpha=81.29 beta=81.29 gamma=81.29
Sites, in units of the cell vectors:
Sc1 0.1302 0.1302 0.1302
Sc2 0.8698 0.8698 0.8698
Pa1 0.3898 0.3898 0.3898
Pa2 0.6102 0.6102 0.6102
Ni1 0.0000 0.5000 0.5000
Ni2 0.1547 0.1547 0.6696
Ni3 0.1547 0.6696 0.1547
Ni4 0.1785 0.5000 0.8215
Ni5 0.1785 0.8215 0.5000
Ni6 0.3304 0.8453 0.8453
Ni7 0.5000 0.0000 0.5000
Ni8 0.5000 0.1785 0.8215
Ni9 0.5000 0.5000 0.0000
Ni10 0.5000 0.8215 0.1785
Ni11 0.6696 0.1547 0.1547
Ni12 0.8215 0.1785 0.5000
Ni13 0.8215 0.5000 0.1785
Ni14 0.8453 0.3304 0.8453
Ni15 0.8453 0.8453 0.3304


# 4
Material: YScCl
Method: DFT, PBE
State: optimized geometry

Results
Calculated total energy   -17.3 eV for the cell shown
M_tot   0.00 μB/atom
Space group   P3m1
Energy above the most stable polymorph in this dataset   0 meV per atom
Uncorrected formation energy   -0.8722 eV per atom

Unit cell a=3.5575 b=3.5575 c=6.6764 alpha=90.00 beta=90.00 gamma=120.00
Sites, in units of the cell vectors:
Y1 0.0000 0.0000 0.0000
Sc1 0.3333 0.6667 0.6232
Cl1 0.6667 0.3333 0.3274


# 5
Material: CdFeW2
Method: DFT, PBE
State: optimized geometry

Results
Calculated total energy   -33.4 eV for the cell shown
M_tot   0.47 μB/atom
Space group   R3m
Energy of formation   468 meV/atom

Unit cell a=9.2928 b=9.2928 c=9.2928 alpha=17.74 beta=17.74 gamma=17.74
Sites, in units of the cell vectors:
Cd1 0.0000 0.0000 0.0000
Fe1 0.2484 0.2484 0.2484
W1 0.5133 0.5133 0.5133
W2 0.7609 0.7609 0.7609


# 6
Material: LiPmEu
Method: DFT, PBE
State: optimized geometry

Results
Calculated total energy   -16.4 eV for the cell shown
M_tot   2.45 μB/atom
Space group   P3m1
Energy above the most stable polymorph in this dataset   64 meV per atom
Energy of formation   178 meV/atom

Unit cell a=5.6331 b=5.6331 c=3.5170 alpha=90.00 beta=90.00 gamma=120.00
Sites, in units of the cell vectors:
Li1 0.0000 0.0000 0.0000
Pm1 0.6667 0.3333 0.6481
Eu1 0.3333 0.6667 0.2382


# 7
Material: AcZn10Ag
Method: DFT, PBE
State: optimized geometry

Results
Calculated total energy   -20.8 eV for the cell shown
M_tot   0.00 μB/atom
Space group   Pmmm
Energy of formation   -89 meV/atom

Unit cell a=4.4695 b=5.0608 c=9.6788 alpha=90.00 beta=90.00 gamma=90.00
Sites, in units of the cell vectors:
Ac1 0.0000 0.0000 0.0000
Zn1 0.0000 0.0000 0.3551
Zn2 0.0000 0.0000 0.6449
Zn3 0.0000 0.5000 0.2202
Zn4 0.0000 0.5000 0.7798
Zn5 0.5000 0.0000 0.5000
Zn6 0.5000 0.2446 0.2427
Zn7 0.5000 0.2446 0.7573
Zn8 0.5000 0.5000 0.0000
Zn9 0.5000 0.7554 0.2427
Zn10 0.5000 0.7554 0.7573
Ag1 0.0000 0.5000 0.5000


# 8
Material: RhSBrCl2
Method: DFT, PBE
State: optimized geometry

Results
Calculated total energy   -11.3 eV for the cell shown
M_tot   0.47 μB/atom
Space group   P4/mmm
Energy above the most stable polymorph in this dataset   938 meV per atom
Uncorrected formation energy   1.1127 eV per atom

Unit cell a=5.1253 b=5.1253 c=4.9257 alpha=90.00 beta=90.00 gamma=90.00
Sites, in units of the cell vectors:
Rh1 0.0000 0.0000 0.0000
S1 0.5000 0.5000 0.0000
Br1 0.5000 0.5000 0.5000
Cl1 0.0000 0.5000 0.5000
Cl2 0.5000 0.0000 0.5000


# 9
Material: ZnFeN2
Method: DFT, PBE
State: optimized geometry

Results
Calculated total energy   -22.9 eV for the cell shown
M_tot   0.43 μB/atom
Space group   R-3m
Uncorrected formation energy   0.8597 eV per atom

Unit cell a=6.0814 b=6.0814 c=6.0814 alpha=28.68 beta=28.68 gamma=28.68
Sites, in units of the cell vectors:
Zn1 0.0000 0.0000 0.0000
Fe1 0.5000 0.5000 0.5000
N1 0.4006 0.4006 0.4006
N2 0.5994 0.5994 0.5994


# 10
Material: HfTl2P
Method: DFT, PBE
State: optimized geometry

Results
Calculated total energy   -17.5 eV for the cell shown
M_tot   0.00 μB/atom
Space group   Fm-3m
Energy above the most stable polymorph in this dataset   272 meV per atom
Energy of formation   641 meV/atom

Unit cell a=5.1025 b=5.1025 c=5.1025 alpha=60.00 beta=60.00 gamma=60.00
Sites, in units of the cell vectors:
Hf1 0.0000 0.0000 0.0000
Tl1 0.2500 0.2500 0.2500
Tl2 0.7500 0.7500 0.7500
P1 0.5000 0.5000 0.5000


# 11
Material: La8YCd2
Method: DFT, PBE
State: optimized geometry

Results
Calculated total energy   -48.6 eV for the cell shown
M_tot   0.00 μB/atom
Space group   C2/m
Energy of formation   -81 meV/atom

Unit cell a=9.1622 b=9.1622 c=8.6025 alpha=112.33 beta=112.33 gamma=34.65
Sites, in units of the cell vectors:
La1 0.0499 0.0499 0.2402
La2 0.1470 0.1470 0.7028
La3 0.3116 0.3116 0.5465
La4 0.3972 0.3972 0.0316
La5 0.6028 0.6028 0.9684
La6 0.6884 0.6884 0.4535
La7 0.8530 0.8530 0.2972
La8 0.9501 0.9501 0.7598
Y1 0.5000 0.5000 0.5000
Cd1 0.2209 0.2209 0.1327
Cd2 0.7791 0.7791 0.8673


# 12
Material: Nd8Er2Al
Method: DFT, PBE
State: optimized geometry

Results
Calculated total energy   -50.7 eV for the cell shown
M_tot   0.00 μB/atom
Space group   C2/m
Energy of formation   32 meV/atom

Unit cell a=9.3307 b=9.3307 c=8.0490 alpha=111.64 beta=111.64 gamma=34.44
Sites, in units of the cell vectors:
Nd1 0.0132 0.0132 0.2646
Nd2 0.1769 0.1769 0.7179
Nd3 0.3409 0.3409 0.5906
Nd4 0.3911 0.3911 0.0773
Nd5 0.6089 0.6089 0.9227
Nd6 0.6591 0.6591 0.4094
Nd7 0.8231 0.8231 0.2821
Nd8 0.9868 0.9868 0.7354
Er1 0.1921 0.1921 0.1572
Er2 0.8079 0.8079 0.8428
Al1 0.5000 0.5000 0.5000